1.
{
  "formula": "KNa2Cd2",
  "functional": "SCAN",
  "state": "PBEsol geometry",
  "energy_ev_per_atom": -15.571,
  "volume_a3_per_cell": 303,
  "ef_ev_per_atom": -0.054,
  "lattice": [[3.474, 0.000, 0.000], [0.000, 9.339, 0.000], [0.000, 0.000, 9.339]],
  "species": ["Na", "Na", "Cd", "K", "Na", "Cd", "Cd", "Cd", "Na", "K"],
  "frac_coords": [[0.500, 0.678, 0.822], [0.500, 0.178, 0.678], [0.000, 0.889, 0.611], [0.000, 0.500, 0.500], [0.500, 0.322, 0.178], [0.000, 0.389, 0.889], [0.000, 0.611, 0.111], [0.000, 0.111, 0.389], [0.500, 0.822, 0.322], [0.000, 0.000, 0.000]]
}



2.
{
  "formula": "Li2SbPb",
  "functional": "SCAN",
  "state": "PBEsol geometry",
  "energy_ev_per_atom": -29.867,
  "volume_a3_per_cell": 86,
  "e_form_raw_mev_per_atom": -411.9,
  "lattice": [[-0.039, 2.142, -2.275], [2.197, -3.533, -3.363], [-5.277, -0.684, -0.554]],
  "species": ["Li", "Pb", "Sb", "Li"],
  "frac_coords": [[0.000, 0.500, 0.000], [0.500, 0.500, 0.500], [0.500, 0.000, 0.000], [0.000, 0.000, 0.500]]
}



3.
{
  "formula": "YCr2Cl",
  "functional": "SCAN",
  "state": "PBEsol geometry",
  "energy_ev_per_atom": -17.625,
  "volume_a3_per_cell": 65,
  "e_form_raw_mev_per_atom": 522.1,
  "lattice": [[3.533, 0.000, 0.000], [0.000, 3.533, 0.000], [-1.767, -1.767, 5.180]],
  "species": ["Cr", "Y", "Cl", "Cr"],
  "frac_coords": [[0.250, 0.750, 0.500], [0.500, 0.500, 0.000], [0.000, 0.000, 0.000], [0.750, 0.250, 0.500]]
}



4.
{
  "formula": "BaLi2Hg",
  "functional": "SCAN",
  "state": "PBEsol geometry",
  "energy_ev_per_atom": -28.460,
  "volume_a3_per_cell": 111,
  "ef_ev_per_atom": -0.337,
  "lattice": [[4.720, 0.000, 0.000], [2.360, 4.088, 0.000], [2.360, 1.363, 5.770]],
  "species": ["Hg", "Li", "Ba", "Li"],
  "frac_coords": [[0.000, 0.000, 0.000], [0.305, 0.305, 0.086], [0.500, 0.500, 0.500], [0.695, 0.695, 0.914]]
}



5.
{
  "formula": "Sc2AgAu",
  "functional": "SCAN",
  "state": "PBEsol geometry",
  "energy_ev_per_atom": -32.977,
  "volume_a3_per_cell": 76,
  "ef_ev_per_atom": -0.728,
  "lattice": [[3.359, 0.000, 0.000], [0.000, 3.359, 0.000], [0.000, 0.000, 6.751]],
  "species": ["Sc", "Sc", "Au", "Ag"],
  "frac_coords": [[0.000, 0.000, 0.254], [0.000, 0.000, 0.746], [0.500, 0.500, 0.500], [0.500, 0.500, 0.000]]
}



6.
{
  "formula": "LaCo2Ru",
  "functional": "SCAN",
  "state": "PBEsol geometry",
  "energy_ev_per_atom": -28.167,
  "volume_a3_per_cell": 72,
  "ef_ev_per_atom": -0.032,
  "lattice": [[-0.056, 4.060, 0.695], [-2.233, 1.527, 3.107], [3.108, 1.401, 4.276]],
  "species": ["La", "Co", "Ru", "Co"],
  "frac_coords": [[0.504, 0.504, 0.489], [0.004, 0.004, 0.987], [0.317, 0.317, 0.048], [0.690, 0.690, 0.929]]
}